4
Lattice="-2.1124 0.0363 -1.5848 1.8426 -2.7112 -2.5180 -2.4107 -4.5269 3.1101" Properties=species:S:1:pos:R:3 comment="ReRhSe2 | Alexandria | PBEsol | relaxed" e_above_lowest_polymorph_ev_per_fu=0.00 e_form_raw_ev_per_atom=0.469 pbc="T T T"
Se -3.9250 -3.3694 0.7557
Re -0.2841 -3.6190 0.2961
Rh 0.9213 -1.3556 -1.2590
Se -0.5981 -1.1212 0.7695

---

5
Lattice="-0.3824 1.8519 4.2154 -4.6037 -0.0874 -0.3793 -0.0723 -4.2318 1.8526" Properties=species:S:1:pos:R:3 comment="KNaOs3 | Alexandria | PBEsol | relaxed" e_form_ev_per_atom=3.796 pbc="T T T"
Os -0.1912 0.9260 2.1077
K 0.0000 0.0000 0.0000
Os -0.0362 -2.1159 0.9263
Na -2.5292 -1.2336 2.8443
Os -2.3018 -0.0437 -0.1896

---

5
Lattice="3.8606 0.0000 0.0000 0.0000 3.8606 0.0000 0.0000 0.0000 4.7410" Properties=species:S:1:pos:R:3 comment="SiGeB2Rh | Alexandria | PBEsol | relaxed" e_form_raw_ev_per_atom=1.077 pbc="T T T"
B 0.0000 1.9303 0.0000
Ge 1.9303 1.9303 2.3705
Rh 0.0000 0.0000 2.3705
B 1.9303 0.0000 0.0000
Si 0.0000 0.0000 0.0000

---

4
Lattice="-2.7498 0.7410 0.0186 -1.9265 -1.6434 -1.3034 -2.7385 -4.8669 7.0728" Properties=species:S:1:pos:R:3 comment="TlIrRh2 | Alexandria | PBEsol | relaxed" e_above_lowest_polymorph_ev_per_fu=0.37 e_form_ev_per_atom=0.317 pbc="T T T"
Tl -3.7074 -2.8846 2.8940
Rh -1.8372 -1.3787 1.3425
Rh -5.5775 -4.3906 4.4455
Ir 0.0000 0.0000 0.0000